[1]
Compound: Li4MnP2O8
Source: Alexandria via LeMat-Bulk
Functional: GGA-PBEsol
Structure: relaxed

Symmetry: P-1 (2)
Crystal system: triclinic
Formation energy (no corrections), eV per atom: -2.2145
Distance to the lowest polymorph of the same formula, eV/f.u.: 0.71

Unit cell a=4.944 b=5.144 c=6.151 alpha=93.91 beta=94.14 gamma=98.24
Positions (direct):
1 O 0.226 0.690 0.921
2 O 0.320 0.198 0.245
3 O 0.680 0.802 0.755
4 O 0.242 0.676 0.510
5 O 0.774 0.310 0.079
6 Li 0.645 0.382 0.792
7 O 0.304 0.109 0.744
8 Li 0.847 0.706 0.486
9 Li 0.355 0.618 0.208
10 O 0.696 0.891 0.256
11 Mn 0.000 0.000 0.000
12 P 0.368 0.821 0.730
13 Li 0.153 0.294 0.514
14 O 0.758 0.324 0.490
15 P 0.632 0.179 0.270

---

[2]
Compound: LiMnP2O7
Source: Alexandria via LeMat-Bulk
Functional: GGA-PBEsol
Structure: relaxed

Symmetry: C2 (5)
Crystal system: monoclinic
Formation energy (no corrections), eV per atom: -2.1264
Distance to the lowest polymorph of the same formula, eV/f.u.: 0.00

Unit cell a=4.538 b=5.217 c=5.217 alpha=100.00 beta=101.15 gamma=101.15
Positions (direct):
1 P 0.907 0.736 0.663
2 O 0.000 0.472 0.528
3 O 0.230 0.552 0.127
4 O 0.770 0.873 0.448
5 P 0.093 0.337 0.264
6 O 0.783 0.175 0.071
7 O 0.217 0.929 0.825
8 O 0.314 0.174 0.363
9 Li 0.500 0.249 0.751
10 Mn 0.500 0.873 0.127
11 O 0.686 0.637 0.826

---

[3]
Compound: Li2Mn2P3O12
Source: Alexandria via LeMat-Bulk
Functional: GGA-PBEsol
Structure: relaxed

Symmetry: P-1 (2)
Crystal system: triclinic
Formation energy (no corrections), eV per atom: -2.0790
Distance to the lowest polymorph of the same formula, eV/f.u.: 0.12

Unit cell a=8.180 b=8.171 c=8.602 alpha=63.47 beta=89.55 gamma=60.63
Positions (direct):
1 P 0.033 0.490 0.254
2 P 0.460 0.793 0.251
3 O 0.824 0.674 0.118
4 O 0.513 0.305 0.203
5 Li 0.308 0.613 0.139
6 O 0.143 0.990 0.756
7 O 0.532 0.255 0.913
8 O 0.378 0.396 0.582
9 Li 0.268 0.067 0.862
10 O 0.112 0.623 0.264
11 O 0.233 0.611 0.917
12 Li 0.692 0.387 0.861
13 O 0.021 0.351 0.438
14 Mn 0.142 0.717 0.431
15 O 0.164 0.343 0.183
16 O 0.468 0.745 0.087
17 P 0.266 0.777 0.757
18 Li 0.732 0.933 0.138
19 O 0.746 0.153 0.737
20 P 0.967 0.510 0.746
21 O 0.254 0.847 0.263
22 O 0.622 0.604 0.418
23 O 0.888 0.377 0.736
24 O 0.857 0.010 0.244
25 O 0.836 0.657 0.817
26 Mn 0.343 0.309 0.045
27 P 0.734 0.223 0.243
28 P 0.540 0.207 0.749
29 O 0.767 0.389 0.083
30 Mn 0.858 0.283 0.569
31 O 0.210 0.798 0.578
32 O 0.474 0.995 0.184
33 Mn 0.657 0.691 0.955
34 O 0.979 0.649 0.562
35 O 0.176 0.326 0.882
36 O 0.790 0.202 0.422
37 O 0.526 0.005 0.816
38 O 0.487 0.695 0.797

---

[4]
Compound: Li3MnP2O8
Source: Alexandria via LeMat-Bulk
Functional: GGA-PBEsol
Structure: relaxed

Symmetry: P2_1/m (11)
Crystal system: monoclinic
Formation energy (no corrections), eV per atom: -2.2143
Distance to the lowest polymorph of the same formula, eV/f.u.: 0.06

Unit cell a=4.666 b=5.900 c=9.943 alpha=90.00 beta=91.36 gamma=90.00
Positions (direct):
1 O 0.204 0.461 0.162
2 Mn 0.979 0.250 0.781
3 O 0.204 0.039 0.162
4 O 0.306 0.250 0.455
5 O 0.745 0.250 0.614
6 O 0.199 0.250 0.946
7 P 0.064 0.250 0.092
8 O 0.741 0.250 0.086
9 Li 0.500 0.000 0.000
10 O 0.272 0.456 0.675
11 Li 0.522 0.250 0.282
12 Li 0.478 0.750 0.718
13 O 0.728 0.544 0.325
14 P 0.590 0.750 0.398
15 O 0.796 0.961 0.838
16 O 0.255 0.750 0.386
17 O 0.796 0.539 0.838
18 Li 0.500 0.500 0.000
19 O 0.801 0.750 0.054
20 O 0.694 0.750 0.545
21 O 0.259 0.750 0.914
22 Li 0.000 0.500 0.500
23 P 0.936 0.750 0.908
24 P 0.410 0.250 0.602
25 Li 0.000 0.000 0.500
26 O 0.728 0.956 0.325
27 Mn 0.021 0.750 0.219
28 O 0.272 0.044 0.675

---

[5]
Compound: Li2Mn3P3O12
Source: Alexandria via LeMat-Bulk
Functional: GGA-PBEsol
Structure: relaxed

Symmetry: C2 (5)
Crystal system: monoclinic
Formation energy (no corrections), eV per atom: -1.9953

Unit cell a=8.309 b=8.554 c=8.554 alpha=118.23 beta=116.42 gamma=63.58
Positions (direct):
1 Mn 0.238 0.000 0.490
2 Mn 0.762 0.490 0.000
3 O 0.443 0.970 0.101
4 O 0.149 0.050 0.231
5 O 0.353 0.504 0.207
6 Li 0.000 0.339 0.339
7 P 0.176 0.549 0.254
8 O 0.647 0.207 0.504
9 O 0.502 0.431 0.912
10 P 0.824 0.254 0.549
11 Mn 0.600 0.349 0.164
12 O 0.851 0.231 0.050
13 O 0.829 0.419 0.742
14 Li 0.416 0.780 0.147
15 O 0.653 0.744 0.913
16 O 0.859 0.825 0.542
17 Li 0.500 0.635 0.635
18 O 0.686 0.606 0.260
19 P 0.500 0.940 0.940
20 Mn 0.893 0.648 0.849
21 O 0.908 0.891 0.982
22 O 0.314 0.260 0.606
23 O 0.171 0.742 0.419
24 O 0.141 0.542 0.825
25 O 0.815 0.311 0.399
26 Mn 0.107 0.849 0.648
27 O 0.092 0.982 0.891
28 O 0.498 0.912 0.431
29 P 0.690 0.754 0.460
30 O 0.007 0.096 0.576
31 P 0.310 0.460 0.754
32 P 0.000 0.035 0.035
33 O 0.557 0.101 0.970
34 O 0.688 0.681 0.591
35 O 0.993 0.576 0.096
36 Li 0.584 0.147 0.780
37 O 0.312 0.591 0.681
38 O 0.347 0.913 0.744
39 O 0.185 0.399 0.311
40 Mn 0.400 0.164 0.349

---

[6]
Compound: LiMn2P2O8
Source: Alexandria via LeMat-Bulk
Functional: GGA-PBEsol
Structure: relaxed

Symmetry: P1 (1)
Crystal system: triclinic
Formation energy (no corrections), eV per atom: -2.0110
Distance to the lowest polymorph of the same formula, eV/f.u.: 0.00

Unit cell a=4.790 b=5.121 c=6.049 alpha=87.68 beta=74.20 gamma=75.66
Positions (direct):
1 P 0.341 0.176 0.767
2 O 0.242 0.910 0.790
3 P 0.656 0.838 0.227
4 O 0.307 0.883 0.321
5 O 0.734 0.691 0.993
6 O 0.688 0.113 0.661
7 O 0.813 0.640 0.391
8 Li 0.330 0.665 0.024
9 Mn 0.958 0.758 0.665
10 O 0.262 0.324 0.999
11 O 0.187 0.369 0.599
12 O 0.753 0.100 0.207
13 Mn 0.023 0.246 0.335

---

[7]
Compound: LiMn2P3O12
Source: Alexandria via LeMat-Bulk
Functional: GGA-PBEsol
Structure: relaxed

Symmetry: P2_1/c (14)
Crystal system: monoclinic
Formation energy (no corrections), eV per atom: -2.0141
Distance to the lowest polymorph of the same formula, eV/f.u.: 0.03

Unit cell a=8.117 b=8.374 c=11.556 alpha=90.00 beta=89.65 gamma=90.00
Positions (direct):
1 O 0.628 0.498 0.747
2 O 0.066 0.427 0.184
3 O 0.437 0.626 0.058
4 O 0.140 0.570 0.980
5 O 0.433 0.607 0.602
6 P 0.463 0.249 0.012
7 P 0.037 0.749 0.488
8 O 0.360 0.070 0.520
9 Li 0.429 0.392 0.804
10 P 0.113 0.887 0.143
11 O 0.563 0.374 0.942
12 O 0.640 0.930 0.480
13 O 0.338 0.219 0.318
14 O 0.439 0.833 0.891
15 O 0.434 0.927 0.316
16 Mn 0.244 0.472 0.609
17 P 0.887 0.113 0.857
18 O 0.561 0.167 0.109
19 O 0.662 0.781 0.682
20 O 0.838 0.281 0.818
21 O 0.162 0.719 0.182
22 O 0.764 0.060 0.953
23 Mn 0.244 0.530 0.118
24 O 0.860 0.430 0.020
25 O 0.937 0.874 0.558
26 O 0.899 0.359 0.413
27 Mn 0.756 0.470 0.882
28 P 0.611 0.887 0.354
29 O 0.187 0.830 0.434
30 O 0.101 0.641 0.587
31 O 0.567 0.393 0.398
32 O 0.767 0.482 0.224
33 O 0.233 0.518 0.776
34 Li 0.071 0.892 0.696
35 P 0.111 0.613 0.854
36 Li 0.929 0.108 0.304
37 P 0.889 0.387 0.146
38 O 0.313 0.330 0.066
39 O 0.264 0.440 0.453
40 O 0.874 0.204 0.161
41 Mn 0.256 0.972 0.891
42 O 0.601 0.859 0.087
43 O 0.067 0.107 0.898
44 O 0.128 0.002 0.247
45 Mn 0.744 0.028 0.109
46 P 0.963 0.251 0.512
47 O 0.813 0.170 0.566
48 O 0.934 0.573 0.816
49 O 0.872 0.998 0.753
50 O 0.374 0.296 0.661
51 O 0.939 0.667 0.391
52 O 0.063 0.126 0.442
53 P 0.613 0.613 0.643
54 Li 0.571 0.608 0.196
55 Mn 0.744 0.970 0.618
56 O 0.267 0.018 0.724
57 O 0.399 0.141 0.913
58 O 0.687 0.670 0.934
59 O 0.733 0.982 0.276
60 P 0.389 0.113 0.646
61 O 0.236 0.940 0.047
62 O 0.566 0.073 0.684
63 O 0.736 0.560 0.547
64 P 0.537 0.751 0.988
65 O 0.372 0.502 0.253
66 O 0.061 0.333 0.609
67 O 0.126 0.796 0.839
68 O 0.626 0.704 0.339
69 O 0.933 0.893 0.102
70 Mn 0.756 0.528 0.391
71 P 0.387 0.387 0.357
72 Mn 0.256 0.030 0.382

---

[8]
Compound: Li2Mn2P3O12
Source: Alexandria via LeMat-Bulk
Functional: GGA-PBEsol
Structure: relaxed

Symmetry: Pbcn (60)
Crystal system: orthorhombic
Formation energy (no corrections), eV per atom: -2.0853
Distance to the lowest polymorph of the same formula, eV/f.u.: 0.00

Unit cell a=8.428 b=8.554 c=11.892 alpha=90.00 beta=90.00 gamma=90.00
Positions (direct):
1 Li 0.220 0.780 0.815
2 O 0.642 0.336 0.084
3 Mn 0.748 0.533 0.112
4 P 0.967 0.750 0.500
5 O 0.079 0.605 0.844
6 O 0.675 0.513 0.270
7 O 0.921 0.395 0.156
8 O 0.659 0.051 0.530
9 Mn 0.252 0.033 0.112
10 Li 0.280 0.220 0.315
11 O 0.142 0.336 0.416
12 O 0.421 0.105 0.656
13 O 0.159 0.051 0.970
14 O 0.421 0.395 0.344
15 P 0.604 0.106 0.646
16 P 0.896 0.894 0.146
17 O 0.675 0.987 0.730
18 O 0.936 0.362 0.573
19 O 0.157 0.274 0.825
20 Mn 0.748 0.967 0.888
21 O 0.358 0.664 0.916
22 O 0.175 0.513 0.230
23 Mn 0.248 0.533 0.388
24 O 0.825 0.487 0.770
25 O 0.579 0.895 0.344
26 O 0.858 0.664 0.584
27 O 0.936 0.138 0.427
28 O 0.642 0.164 0.916
29 P 0.896 0.606 0.854
30 O 0.436 0.138 0.073
31 O 0.157 0.226 0.175
32 Mn 0.248 0.967 0.612
33 O 0.325 0.013 0.270
34 O 0.843 0.726 0.175
35 P 0.396 0.894 0.354
36 Li 0.780 0.220 0.185
37 O 0.159 0.449 0.030
38 O 0.341 0.551 0.530
39 O 0.343 0.726 0.325
40 Li 0.720 0.780 0.685
41 Li 0.280 0.280 0.685
42 O 0.858 0.836 0.416
43 Mn 0.752 0.467 0.612
44 O 0.841 0.551 0.970
45 P 0.396 0.606 0.646
46 Li 0.780 0.280 0.815
47 O 0.657 0.274 0.675
48 Mn 0.252 0.467 0.888
49 O 0.064 0.862 0.573
50 O 0.843 0.774 0.825
51 O 0.657 0.226 0.325
52 O 0.079 0.895 0.156
53 Mn 0.752 0.033 0.388
54 P 0.533 0.250 0.000
55 Li 0.720 0.720 0.315
56 O 0.343 0.774 0.675
57 O 0.436 0.362 0.927
58 O 0.564 0.862 0.927
59 P 0.033 0.250 0.500
60 P 0.467 0.750 0.000
61 Li 0.220 0.720 0.185
62 O 0.325 0.487 0.730
63 O 0.341 0.949 0.470
64 O 0.659 0.449 0.470
65 P 0.104 0.106 0.854
66 O 0.825 0.013 0.230
67 O 0.358 0.836 0.084
68 O 0.564 0.638 0.073
69 O 0.841 0.949 0.030
70 P 0.104 0.394 0.146
71 O 0.579 0.605 0.656
72 O 0.921 0.105 0.844
73 O 0.064 0.638 0.427
74 O 0.142 0.164 0.584
75 P 0.604 0.394 0.354
76 O 0.175 0.987 0.770